# 1
The following is a DFT calculation (PBE-GGA) of an optimized crystal structure of KCa2HfOs.

Geometry as CIF:
```
data_KCa2HfOs
_chemical_formula_sum 'K1 Ca2 Hf1 Os1'
_cell_length_a 5.830
_cell_length_b 5.830
_cell_length_c 5.873
_cell_angle_alpha 90.00
_cell_angle_beta 90.00
_cell_angle_gamma 90.00
_symmetry_space_group_name_H-M 'P 4/m m m'
_symmetry_Int_Tables_number 123
_symmetry_space_group_name_Hall '-P 4 2'
loop_
_atom_site_label
_atom_site_type_symbol
_atom_site_fract_x
_atom_site_fract_y
_atom_site_fract_z
K1 K 0.000 0.000 0.000
Ca1 Ca 0.000 0.500 0.500
Hf1 Hf 0.000 0.000 0.500
Os1 Os 0.500 0.500 0.000
```

---

# 2
The following is a DFT calculation (PBE-GGA) of an optimized crystal structure of KCa2HfTa.

Geometry as CIF:
```
data_KCa2HfTa
_chemical_formula_sum 'K1 Ca2 Hf1 Ta1'
_cell_length_a 5.105
_cell_length_b 5.105
_cell_length_c 5.231
_cell_angle_alpha 90.00
_cell_angle_beta 90.00
_cell_angle_gamma 90.00
_symmetry_space_group_name_H-M 'P 4/m m m'
_symmetry_Int_Tables_number 123
_symmetry_space_group_name_Hall '-P 4 2'
loop_
_atom_site_label
_atom_site_type_symbol
_atom_site_fract_x
_atom_site_fract_y
_atom_site_fract_z
K1 K 0.000 0.000 0.000
Ca1 Ca 0.000 0.500 0.000
Hf1 Hf 0.500 0.500 0.500
Ta1 Ta 0.000 0.000 0.500
```

---

# 3
The following is a DFT calculation (PBE-GGA) of an optimized crystal structure of KCa2HfV.

Geometry as CIF:
```
data_KCa2HfV
_chemical_formula_sum 'K1 Ca2 Hf1 V1'
_cell_length_a 5.190
_cell_length_b 5.190
_cell_length_c 5.296
_cell_angle_alpha 90.00
_cell_angle_beta 90.00
_cell_angle_gamma 90.00
_symmetry_space_group_name_H-M 'P 4/m m m'
_symmetry_Int_Tables_number 123
_symmetry_space_group_name_Hall '-P 4 2'
loop_
_atom_site_label
_atom_site_type_symbol
_atom_site_fract_x
_atom_site_fract_y
_atom_site_fract_z
K1 K 0.000 0.000 0.000
Ca1 Ca 0.000 0.500 0.000
Hf1 Hf 0.000 0.000 0.500
V1 V 0.500 0.500 0.500
```

---

# 4
The following is a DFT calculation (PBE-GGA) of an optimized crystal structure of KCaHf2Zn.

Geometry as CIF:
```
data_KCaHf2Zn
_chemical_formula_sum 'K1 Ca1 Hf2 Zn1'
_cell_length_a 5.102
_cell_length_b 5.102
_cell_length_c 5.186
_cell_angle_alpha 90.00
_cell_angle_beta 90.00
_cell_angle_gamma 90.00
_symmetry_space_group_name_H-M 'P 4/m m m'
_symmetry_Int_Tables_number 123
_symmetry_space_group_name_Hall '-P 4 2'
loop_
_atom_site_label
_atom_site_type_symbol
_atom_site_fract_x
_atom_site_fract_y
_atom_site_fract_z
K1 K 0.000 0.000 0.000
Ca1 Ca 0.000 0.000 0.500
Hf1 Hf 0.000 0.500 0.000
Zn1 Zn 0.500 0.500 0.500
```

---

# 5
The following is a DFT calculation (PBE-GGA) of an optimized crystal structure of KCa2HfZn.

Geometry as CIF:
```
data_KCa2HfZn
_chemical_formula_sum 'K1 Ca2 Hf1 Zn1'
_cell_length_a 6.198
_cell_length_b 6.198
_cell_length_c 5.285
_cell_angle_alpha 90.00
_cell_angle_beta 90.00
_cell_angle_gamma 90.00
_symmetry_space_group_name_H-M 'P 4/m m m'
_symmetry_Int_Tables_number 123
_symmetry_space_group_name_Hall '-P 4 2'
loop_
_atom_site_label
_atom_site_type_symbol
_atom_site_fract_x
_atom_site_fract_y
_atom_site_fract_z
K1 K 0.000 0.000 0.000
Ca1 Ca 0.000 0.500 0.500
Hf1 Hf 0.500 0.500 0.500
Zn1 Zn 0.500 0.500 0.000
```

---

# 6
The following is a DFT calculation (PBE-GGA) of an optimized crystal structure of Ca2LaHf.

Geometry as CIF:
```
data_Ca2LaHf
_chemical_formula_sum 'Ca8 La4 Hf4'
_cell_length_a 8.069
_cell_length_b 8.069
_cell_length_c 8.069
_cell_angle_alpha 90.00
_cell_angle_beta 90.00
_cell_angle_gamma 90.00
_symmetry_space_group_name_H-M 'F m -3 m'
_symmetry_Int_Tables_number 225
_symmetry_space_group_name_Hall '-F 4 2 3'
loop_
_atom_site_label
_atom_site_type_symbol
_atom_site_fract_x
_atom_site_fract_y
_atom_site_fract_z
Ca1 Ca 0.250 0.250 0.250
La1 La 0.000 0.000 0.000
Hf1 Hf 0.000 0.000 0.500
```

---

# 7
The following is a DFT calculation (PBE-GGA) of an optimized crystal structure of CaLa2Hf2.

Geometry as CIF:
```
data_CaLa2Hf2
_chemical_formula_sum 'Ca2 La4 Hf4'
_cell_length_a 9.528
_cell_length_b 9.528
_cell_length_c 3.375
_cell_angle_alpha 90.00
_cell_angle_beta 90.00
_cell_angle_gamma 90.00
_symmetry_space_group_name_H-M 'P 4/m b m'
_symmetry_Int_Tables_number 127
_symmetry_space_group_name_Hall '-P 4 2ab'
loop_
_atom_site_label
_atom_site_type_symbol
_atom_site_fract_x
_atom_site_fract_y
_atom_site_fract_z
Ca1 Ca 0.000 0.000 0.000
La1 La 0.182 0.318 0.000
Hf1 Hf 0.112 0.612 0.500
```

---

# 8
The following is a DFT calculation (PBE-GGA) of an optimized crystal structure of CaLaHf.

Geometry as CIF:
```
data_CaLaHf
_chemical_formula_sum 'Ca4 La4 Hf4'
_cell_length_a 9.910
_cell_length_b 5.741
_cell_length_c 7.977
_cell_angle_alpha 90.00
_cell_angle_beta 114.48
_cell_angle_gamma 90.00
_symmetry_space_group_name_H-M 'C 1 2/m 1'
_symmetry_Int_Tables_number 12
loop_
_symmetry_equiv_pos_as_xyz
'x,y,z'
'-x,-y,-z'
'-x,y,-z'
'x,-y,z'
'x+1/2,y+1/2,z'
'-x+1/2,-y+1/2,-z'
'-x+1/2,y+1/2,-z'
'x+1/2,-y+1/2,z'
loop_
_atom_site_label
_atom_site_type_symbol
_atom_site_fract_x
_atom_site_fract_y
_atom_site_fract_z
Ca1 Ca 0.127 0.000 0.381
La1 La 0.202 0.500 0.104
Hf1 Hf 0.060 0.500 0.683
```

---

# 9
The following is a DFT calculation (PBE-GGA) of an optimized crystal structure of Ca3LaHf.

Geometry as CIF:
```
data_Ca3LaHf
_chemical_formula_sum 'Ca3 La1 Hf1'
_cell_length_a 5.827
_cell_length_b 5.827
_cell_length_c 5.827
_cell_angle_alpha 90.00
_cell_angle_beta 90.00
_cell_angle_gamma 90.00
_symmetry_space_group_name_H-M 'P m -3 m'
_symmetry_Int_Tables_number 221
_symmetry_space_group_name_Hall '-P 4 2 3'
loop_
_atom_site_label
_atom_site_type_symbol
_atom_site_fract_x
_atom_site_fract_y
_atom_site_fract_z
Ca1 Ca 0.000 0.000 0.500
La1 La 0.500 0.500 0.500
Hf1 Hf 0.000 0.000 0.000
```

---

# 10
The following is a DFT calculation (PBE-GGA) of an optimized crystal structure of Ca2LaHf.

Geometry as CIF:
```
data_Ca2LaHf
_chemical_formula_sum 'Ca6 La3 Hf3'
_cell_length_a 3.4156
_cell_length_b 3.4156
_cell_length_c 38.9783
_cell_angle_alpha 90.00
_cell_angle_beta 90.00
_cell_angle_gamma 120.00
_symmetry_space_group_name_H-M 'R -3 m'
_symmetry_Int_Tables_number 166
_symmetry_space_group_name_Hall '-R 3 2"'
loop_
_atom_site_label
_atom_site_type_symbol
_atom_site_fract_x
_atom_site_fract_y
_atom_site_fract_z
Ca1 Ca 0.0000 0.0000 0.0827
La1 La 0.0000 0.0000 0.5000
Hf1 Hf 0.0000 0.0000 0.0000
```

---

# 11
The following is a DFT calculation (PBE-GGA) of an optimized crystal structure of Ca2LaHf.

Geometry as CIF:
```
data_Ca2LaHf
_chemical_formula_sum 'Ca8 La4 Hf4'
_cell_length_a 4.656
_cell_length_b 4.656
_cell_length_c 24.939
_cell_angle_alpha 90.00
_cell_angle_beta 90.00
_cell_angle_gamma 90.00
_symmetry_space_group_name_H-M 'I -4 2 d'
_symmetry_Int_Tables_number 122
_symmetry_space_group_name_Hall 'I -4 2bw'
loop_
_atom_site_label
_atom_site_type_symbol
_atom_site_fract_x
_atom_site_fract_y
_atom_site_fract_z
Ca1 Ca 0.241 0.250 0.125
La1 La 0.000 0.000 0.500
Hf1 Hf 0.000 0.000 0.000
```

---

# 12
The following is a DFT calculation (PBE-GGA) of an optimized crystal structure of CaLa2Hf2.

Geometry as CIF:
```
data_CaLa2Hf2
_chemical_formula_sum 'Ca2 La4 Hf4'
_cell_length_a 9.478
_cell_length_b 9.478
_cell_length_c 3.474
_cell_angle_alpha 90.00
_cell_angle_beta 90.00
_cell_angle_gamma 90.00
_symmetry_space_group_name_H-M 'P 4/m b m'
_symmetry_Int_Tables_number 127
_symmetry_space_group_name_Hall '-P 4 2ab'
loop_
_atom_site_label
_atom_site_type_symbol
_atom_site_fract_x
_atom_site_fract_y
_atom_site_fract_z
Ca1 Ca 0.000 0.000 0.000
La1 La 0.183 0.317 0.500
Hf1 Hf 0.111 0.611 0.000
```

---

| no. | E_tot (eV per atom) | ρ (Mg/m³) |
| --- | --- | --- |
| 1 | -2.981 | 4.06 |
| 2 | -3.548 | 5.83 |
| 3 | -2.831 | 4.06 |
| 4 | -2.971 | 6.17 |
| 5 | -2.549 | 2.97 |
| 6 | -4.265 | 5.03 |
| 7 | -6.014 | 7.31 |
| 8 | -5.130 | 5.75 |
| 9 | -3.370 | 3.67 |
| 10 | -4.200 | 5.03 |
| 11 | -4.064 | 4.89 |
| 12 | -6.065 | 7.18 |